(1)
This record from Alexandria describes an optimized crystal structure of MoBr3. The functional is PBE-GGA.

Computed properties:
**SG**: Imm2, No. 44
**E_tot**: -4.24 eV per atom
**Formation energy without anion corrections**: -108 kJ/mol of formula units

Unit cell a=6.9026 b=6.9026 c=6.9026 alpha=150.14 beta=68.70 gamma=119.73
Element x y z (fractional)
1 Mo 0.0000 0.0000 0.0000
2 Br 0.0077 0.3590 0.6487
3 Br 0.2824 0.7824 0.5000
4 Br 0.7102 0.3590 0.3513

(2)
This record from Alexandria describes an optimized crystal structure of Er8PdPt2. The functional is PBE-GGA.

Computed properties:
**Energy of formation from the pure elements**: -0.6613 eV per atom
**SG**: C2/m, No. 12
**E_tot**: -5.55 eV per atom
**ΔE to the lowest computed polymorph**: 0.000 eV per atom

Unit cell a=8.9908 b=8.9908 c=6.7562 alpha=103.05 beta=103.05 gamma=31.87
Element x y z (fractional)
1 Er 0.0324 0.0324 0.2781
2 Er 0.2062 0.2062 0.8255
3 Er 0.3339 0.3339 0.5261
4 Er 0.4085 0.4085 0.0423
5 Er 0.5915 0.5915 0.9577
6 Er 0.6661 0.6661 0.4739
7 Er 0.7938 0.7938 0.1745
8 Er 0.9676 0.9676 0.7219
9 Pd 0.5000 0.5000 0.5000
10 Pt 0.1913 0.1913 0.2296
11 Pt 0.8087 0.8087 0.7704

(3)
This record from Alexandria describes an optimized crystal structure of Ac2PrBrO4. The functional is PBE-GGA.

Computed properties:
**SG**: P4/mmm, No. 123
**E_tot**: -7.46 eV per atom
**Formation energy without anion corrections**: -2429 kJ/mol of formula units

Unit cell a=4.1818 b=4.1818 c=9.8420 alpha=90.00 beta=90.00 gamma=90.00
Element x y z (fractional)
1 Ac 0.0000 0.0000 0.2384
2 Ac 0.0000 0.0000 0.7616
3 Pr 0.5000 0.5000 0.5000
4 Br 0.5000 0.5000 0.0000
5 O 0.0000 0.5000 0.3516
6 O 0.0000 0.5000 0.6484
7 O 0.5000 0.0000 0.3516
8 O 0.5000 0.0000 0.6484

(4)
This record from Alexandria describes an optimized crystal structure of NdPaIn. The functional is PBE-GGA.

Computed properties:
**Energy of formation from the pure elements**: 0.1750 eV per atom
**SG**: Fmmm, No. 69
**E_tot**: -5.49 eV per atom
**ΔE to the lowest computed polymorph**: 0.050 eV per atom

Unit cell a=7.8665 b=7.0000 c=5.5500 alpha=76.67 beta=59.98 gamma=43.35
Element x y z (fractional)
1 Nd 0.1788 0.8212 0.1788
2 Nd 0.8212 0.1788 0.8212
3 Pa 0.2500 0.2500 0.2500
4 Pa 0.7500 0.7500 0.7500
5 In 0.3843 0.3843 0.6157
6 In 0.6157 0.6157 0.3843

(5)
This record from Alexandria describes an optimized crystal structure of NbAg3N. The functional is PBE-GGA.

Computed properties:
**SG**: Pm-3m, No. 221
**E_tot**: -4.29 eV per atom
**ΔE to the lowest computed polymorph**: 0.000 eV per atom
**Formation energy without anion corrections**: 533 kJ/mol of formula units

Unit cell a=4.3990 b=4.3990 c=4.3990 alpha=90.00 beta=90.00 gamma=90.00
Element x y z (fractional)
1 Nb 0.0000 0.0000 0.0000
2 Ag 0.0000 0.5000 0.5000
3 Ag 0.5000 0.0000 0.5000
4 Ag 0.5000 0.5000 0.0000
5 N 0.5000 0.5000 0.5000

(6)
This record from Alexandria describes an optimized crystal structure of NdEuSn4. The functional is PBE-GGA.

Computed properties:
**Energy of formation from the pure elements**: -0.4080 eV per atom
**SG**: F-43m, No. 216
**E_tot**: -5.58 eV per atom

Unit cell a=6.2594 b=6.2594 c=6.2594 alpha=60.00 beta=60.00 gamma=60.00
Element x y z (fractional)
1 Nd 0.0000 0.0000 0.0000
2 Eu 0.7500 0.7500 0.7500
3 Sn 0.3747 0.3747 0.3747
4 Sn 0.3747 0.3747 0.8760
5 Sn 0.3747 0.8760 0.3747
6 Sn 0.8760 0.3747 0.3747